Computed, not measured: NpMoP2Ru after structural relaxation at the PBE-GGA level of DFT.

Output
- DFT total energy (eV per atom) = -9.3364
- D(E_F) (states/eV per cell) = 24.81
- crystal system = tetragonal
- space group = I-4m2, No. 119

Cell: 4.1417 4.1417 9.6225 Å, 90.00 90.00 90.00°
Sites, in units of the cell vectors:
Np1 0.0000 0.0000 0.0000
Np2 0.5000 0.5000 0.5000
Mo1 0.0000 0.5000 0.2500
Mo2 0.5000 0.0000 0.7500
P1 0.0000 0.0000 0.3744
P2 0.0000 0.0000 0.6256
P3 0.5000 0.5000 0.1256
P4 0.5000 0.5000 0.8744
Ru1 0.0000 0.5000 0.7500
Ru2 0.5000 0.0000 0.2500

=====

Computed, not measured: NpTc2MoP2 after structural relaxation at the PBE-GGA level of DFT.

Output
- DFT total energy (eV per atom) = -9.5973
- D(E_F) (states/eV per cell) = 15.44
- crystal system = orthorhombic
- space group = Pmc2_1, No. 26

Cell: 3.9762 7.7183 6.0065 Å, 90.00 90.00 90.00°
Sites, in units of the cell vectors:
Np1 0.0000 0.0646 0.0000
Np2 0.0000 0.9354 0.5000
Tc1 0.0000 0.3212 0.4204
Tc2 0.0000 0.6788 0.9204
Tc3 0.5000 0.4331 0.0752
Tc4 0.5000 0.5669 0.5752
Mo1 0.5000 0.1950 0.7154
Mo2 0.5000 0.8050 0.2154
P1 0.0000 0.3963 0.8056
P2 0.0000 0.6037 0.3056
P3 0.5000 0.1663 0.3009
P4 0.5000 0.8337 0.8009